The following is a PBE calculation of an optimized crystal structure of Pm6InBr8, from Alexandria via LeMat-Bulk.

Calculated values
Formation energy without anion corrections ... -130 kJ per mole of atoms
Crystal system ... trigonal
V ... 33.08 Å³ per atom

a b c (Å): 7.1437 7.1437 33.6782
angles (deg): 90.00 90.00 120.00
Space group R-3 (No. 148, hexagonal axes)
Inequivalent atoms, fractional coordinates:
Pm 0.0003 0.3404 0.0542 (multiplicity 18)
In 0.0000 0.0000 0.0000 (multiplicity 3)
Br 0.0000 0.0000 0.3333 (multiplicity 6)
Br 0.0002 0.3237 0.8905 (multiplicity 18)

***

The following is a PBE calculation of an optimized crystal structure of PmIn4Br6, from Alexandria via LeMat-Bulk.

Calculated values
Formation energy without anion corrections ... -90 kJ per mole of atoms
Crystal system ... tetragonal
V ... 35.96 Å³ per atom

a b c (Å): 8.6470 8.6470 10.5792
angles (deg): 90.00 90.00 90.00
Space group P4/mnc (No. 128)
Inequivalent atoms, fractional coordinates:
Pm 0.0000 0.0000 0.0000 (multiplicity 2)
In 0.1436 0.3564 0.2500 (multiplicity 8)
Br 0.0000 0.0000 0.2735 (multiplicity 4)
Br 0.1600 0.7068 0.0000 (multiplicity 8)

***

The following is a PBE calculation of an optimized crystal structure of PmIn5Br8, from Alexandria via LeMat-Bulk.

Calculated values
Formation energy without anion corrections ... -95 kJ per mole of atoms
Crystal system ... tetragonal
V ... 33.94 Å³ per atom

a b c (Å): 9.6910 9.6910 10.1197
angles (deg): 90.00 90.00 90.00
Space group I-4 (No. 82)
Inequivalent atoms, fractional coordinates:
Pm 0.0000 0.0000 0.0000 (multiplicity 2)
In 0.0000 0.5000 0.2500 (multiplicity 2)
In 0.1208 0.2362 0.6238 (multiplicity 8)
Br 0.0635 0.1722 0.2555 (multiplicity 8)
Br 0.0716 0.2887 0.9244 (multiplicity 8)

***

The following is a PBE calculation of an optimized crystal structure of Pm2InBr2, from Alexandria via LeMat-Bulk.

Calculated values
Formation energy without anion corrections ... -115 kJ per mole of atoms
Crystal system ... trigonal
V ... 34.25 Å³ per atom

a b c (Å): 4.1073 4.1073 35.1695
angles (deg): 90.00 90.00 120.00
Space group R-3m (No. 166, hexagonal axes)
Inequivalent atoms, fractional coordinates:
Pm 0.0000 0.0000 0.1061 (multiplicity 6)
In 0.0000 0.0000 0.5000 (multiplicity 3)
Br 0.0000 0.0000 0.2792 (multiplicity 6)

***

The following is a PBE calculation of an optimized crystal structure of PmInBr, from Alexandria via LeMat-Bulk.

Calculated values
Formation energy without anion corrections ... -101 kJ per mole of atoms
Crystal system ... monoclinic
V ... 33.51 Å³ per atom

a b c (Å): 7.8362 4.5267 11.3431
angles (deg): 90.00 91.96 90.00
Space group C2/m (No. 12)
Inequivalent atoms, fractional coordinates:
Pm 0.0099 0.0000 0.1982 (multiplicity 4)
In 0.1645 0.5000 0.9564 (multiplicity 4)
Br 0.1836 0.5000 0.3439 (multiplicity 4)

***

The following is a PBE calculation of an optimized crystal structure of PmInBr4, from Alexandria via LeMat-Bulk.

Calculated values
Formation energy without anion corrections ... -140 kJ per mole of atoms
Crystal system ... monoclinic
V ... 39.65 Å³ per atom

a b c (Å): 17.5367 7.1631 7.8355
angles (deg): 90.00 104.81 90.00
Space group C2/c (No. 15)
Inequivalent atoms, fractional coordinates:
Pm 0.2500 0.2500 0.0000 (multiplicity 4)
In 0.0000 0.2280 0.2500 (multiplicity 4)
Br 0.0963 0.1002 0.9618 (multiplicity 8)
Br 0.1925 0.4251 0.6547 (multiplicity 8)

***

The following is a PBE calculation of an optimized crystal structure of Pm2In5Br12, from Alexandria via LeMat-Bulk.

Calculated values
Formation energy without anion corrections ... -110 kJ per mole of atoms
Crystal system ... monoclinic
V ... 39.63 Å³ per atom

a b c (Å): 18.3665 8.6598 10.2104
angles (deg): 90.00 111.99 90.00
Space group C2/m (No. 12)
Inequivalent atoms, fractional coordinates:
Pm 0.0000 0.2462 0.0000 (multiplicity 4)
In 0.0000 0.5000 0.5000 (multiplicity 2)
In 0.1819 0.0000 0.8180 (multiplicity 4)
In 0.2395 0.0000 0.3621 (multiplicity 4)
Br 0.0120 0.0000 0.2028 (multiplicity 4)
Br 0.0142 0.5000 0.1979 (multiplicity 4)
Br 0.1224 0.2696 0.5882 (multiplicity 8)
Br 0.1653 0.2364 0.0823 (multiplicity 8)

***

The following is a PBE calculation of an optimized crystal structure of Rb2PmInBr6, from Alexandria via LeMat-Bulk.

Calculated values
Formation energy without anion corrections ... -156 kJ per mole of atoms
Crystal system ... monoclinic
V ... 40.70 Å³ per atom

a b c (Å): 8.0913 8.6246 14.0857
angles (deg): 90.00 124.10 90.00
Space group P2_1/c (No. 14)
Inequivalent atoms, fractional coordinates:
Rb 0.2180 0.0774 0.2470 (multiplicity 4)
Pm 0.5000 0.0000 0.0000 (multiplicity 2)
In 0.0000 0.0000 0.5000 (multiplicity 2)
Br 0.1574 0.1809 0.9466 (multiplicity 4)
Br 0.2634 0.7192 0.9363 (multiplicity 4)
Br 0.3834 0.0409 0.7667 (multiplicity 4)

***

The following is a PBE calculation of an optimized crystal structure of PmInSnBr6, from Alexandria via LeMat-Bulk.

Calculated values
Formation energy without anion corrections ... -120 kJ per mole of atoms
Crystal system ... trigonal
V ... 39.81 Å³ per atom

a b c (Å): 7.6366 7.6366 14.1866
angles (deg): 90.00 90.00 120.00
Space group P-31c (No. 163)
Inequivalent atoms, fractional coordinates:
Pm 0.3333 0.6667 0.2500 (multiplicity 2)
In 0.0000 0.0000 0.0000 (multiplicity 2)
Sn 0.3333 0.6667 0.7500 (multiplicity 2)
Br 0.0108 0.3687 0.1333 (multiplicity 12)

***

The following is a PBE calculation of an optimized crystal structure of PmTlIn2Br6, from Alexandria via LeMat-Bulk.

Calculated values
Formation energy without anion corrections ... -115 kJ per mole of atoms
Crystal system ... triclinic
V ... 40.95 Å³ per atom

a b c (Å): 8.1824 8.1931 8.4859
angles (deg): 61.20 61.18 60.06
Space group P1 (No. 1)
Inequivalent atoms, fractional coordinates:
Pm 0.0000 0.0000 0.0000 (multiplicity 1)
Tl 0.4906 0.4903 0.5290 (multiplicity 1)
In 0.2011 0.2014 0.3957 (multiplicity 1)
In 0.6937 0.6927 0.9199 (multiplicity 1)
Br 0.0969 0.3585 0.7360 (multiplicity 1)
Br 0.2486 0.8847 0.2121 (multiplicity 1)
Br 0.3587 0.8091 0.7354 (multiplicity 1)
Br 0.6547 0.2478 0.2125 (multiplicity 1)
Br 0.8078 0.0965 0.7364 (multiplicity 1)
Br 0.8851 0.6548 0.2123 (multiplicity 1)

***

The following is a PBE calculation of an optimized crystal structure of PmTl2In2Br6, from Alexandria via LeMat-Bulk.

Calculated values
Formation energy without anion corrections ... -98 kJ per mole of atoms
Crystal system ... monoclinic
V ... 43.83 Å³ per atom

a b c (Å): 7.4782 14.8099 8.9554
angles (deg): 90.00 103.54 90.00
Space group C2/m (No. 12)
Inequivalent atoms, fractional coordinates:
Pm 0.0000 0.0000 0.0000 (multiplicity 2)
Tl 0.0000 0.3324 0.0000 (multiplicity 4)
In 0.0000 0.2603 0.5000 (multiplicity 4)
Br 0.0801 0.1395 0.7985 (multiplicity 8)
Br 0.1299 0.5000 0.8136 (multiplicity 4)

***

The following is a PBE calculation of an optimized crystal structure of Pr2InBr8, from Alexandria via LeMat-Bulk.

Calculated values
Formation energy without anion corrections ... -144 kJ per mole of atoms
Crystal system ... monoclinic
V ... 36.58 Å³ per atom

a b c (Å): 12.0157 9.3951 7.3891
angles (deg): 90.00 105.24 90.00
Space group C2/m (No. 12)
Inequivalent atoms, fractional coordinates:
Pr 0.1804 0.0000 0.4479 (multiplicity 4)
In 0.0000 0.5000 0.0000 (multiplicity 2)
Br 0.0656 0.0000 0.7565 (multiplicity 4)
Br 0.1435 0.3069 0.2985 (multiplicity 8)
Br 0.1753 0.5000 0.8110 (multiplicity 4)